[1]
A plane-wave DFT calculation with PBE was carried out for a relaxed Tb4PrDy2Er crystal.

Magnetic moment   10.62 μB per cell
Calculated formation energy   3.42 eV per formula unit

a = 6.8112 Å, b = 11.7867 Å, c = 13.2532 Å
α = 90.00°, β = 90.00°, γ = 90.00°
Space group Imma (No. 74)
Inequivalent atoms, fractional coordinates:
Tb 0.0000 0.0010 0.2484 (multiplicity 8)
Tb 0.2483 0.2500 0.0012 (multiplicity 8)
Pr 0.0000 0.0000 0.5000 (multiplicity 4)
Dy 0.0000 0.0000 0.0000 (multiplicity 4)
Dy 0.2500 0.2500 0.7500 (multiplicity 4)
Er 0.2500 0.2500 0.2500 (multiplicity 4)



[2]
A plane-wave DFT calculation with PBE was carried out for a relaxed Ag2Se crystal.

Formation energy without anion corrections   174 meV per atom
Magnetic moment   0.00 μB per cell

a = 3.0164 Å, b = 4.1130 Å, c = 20.4551 Å
α = 90.00°, β = 90.00°, γ = 90.00°
Space group Imma (No. 74)
Inequivalent atoms, fractional coordinates:
Ag 0.0000 0.2500 0.0473 (multiplicity 4)
Ag 0.0000 0.2500 0.1920 (multiplicity 4)
Se 0.0000 0.2500 0.6142 (multiplicity 4)



[3]
A plane-wave DFT calculation with PBE was carried out for a relaxed MnAlBr6 crystal.

Formation energy without anion corrections   -834 meV per atom
Energy relative to the lowest polymorph listed for this composition   0 meV/atom
Magnetic moment   8.00 μB per cell

a = 8.3735 Å, b = 11.4550 Å, c = 6.3441 Å
α = 90.00°, β = 95.19°, γ = 90.00°
Space group C2/m (No. 12)
Inequivalent atoms, fractional coordinates:
Mn 0.0000 0.0000 0.0000 (multiplicity 2)
Al 0.0000 0.0000 0.5000 (multiplicity 2)
Br 0.1126 0.1498 0.7750 (multiplicity 8)
Br 0.2476 0.0000 0.3225 (multiplicity 4)



[4]
A plane-wave DFT calculation with PBE was carried out for a relaxed PuTlZn2F8 crystal.

Formation energy without anion corrections   -2564 meV per atom
Magnetic moment   15.00 μB per cell

a = 5.4370 Å, b = 5.4370 Å, c = 24.6440 Å
α = 90.00°, β = 90.00°, γ = 120.00°
Space group R-3 (No. 148, hexagonal axes)
Inequivalent atoms, fractional coordinates:
Pu 0.0000 0.0000 0.0000 (multiplicity 3)
Tl 0.0000 0.0000 0.5000 (multiplicity 3)
Zn 0.0000 0.0000 0.2408 (multiplicity 6)
F 0.0000 0.0000 0.1652 (multiplicity 6)
F 0.0043 0.6795 0.7239 (multiplicity 18)



[5]
A plane-wave DFT calculation with PBE was carried out for a relaxed Dy3ScSn3 crystal.

Magnetic moment   0.00 μB per cell
Calculated formation energy   -2.59 eV per formula unit

a = 9.2755 Å, b = 9.2755 Å, c = 6.1202 Å
α = 90.00°, β = 90.00°, γ = 120.00°
Space group P6_3/m (No. 176)
Inequivalent atoms, fractional coordinates:
Dy 0.0353 0.6907 0.2500 (multiplicity 6)
Sc 0.3333 0.6667 0.7500 (multiplicity 2)
Sn 0.0250 0.6745 0.7500 (multiplicity 6)



[6]
A plane-wave DFT calculation with PBE was carried out for a relaxed Tb2DyTm3 crystal.

Energy relative to the lowest polymorph listed for this composition   97 meV/atom
Magnetic moment   0.00 μB per cell
Calculated formation energy   0.72 eV per formula unit

a = 17.5246 Å, b = 3.4638 Å, c = 13.9809 Å
α = 90.00°, β = 117.48°, γ = 90.00°
Space group C2/m (No. 12)
Inequivalent atoms, fractional coordinates:
Tb 0.1573 0.0000 0.4687 (multiplicity 4)
Tb 0.1806 0.5000 0.8832 (multiplicity 4)
Dy 0.0619 0.0000 0.6439 (multiplicity 4)
Tm 0.0397 0.5000 0.2109 (multiplicity 4)
Tm 0.0988 0.0000 0.0255 (multiplicity 4)
Tm 0.2386 0.0000 0.2923 (multiplicity 4)



Look up the magnetic moment of the first one. 10.62 μB per cell